Record 1
SrLiSF: relaxed, PBE-GGA.

Summary:
D(E_F), states/eV per atom: 0.00
Uncorrected formation energy, eV/atom: -2.510
Raw total energy, eV per cell: -39.272

Unit cell a=4.0115 b=4.0115 c=8.8991 alpha=90.00 beta=90.00 gamma=90.00
Last column: nearest neighbours and their distance in Å.
Space group P4/nmm (No. 129, origin choice 2)
Unique sites:
Sr: 0.2500 0.2500 0.1647 x2  4 F 2.48
Li: 0.2500 0.7500 0.5000 x2  4 S 2.46
S: 0.2500 0.2500 0.6607 x2  4 Li 2.46
F: 0.2500 0.7500 0.0000 x2  4 Sr 2.48

***

Record 2
La5Tb4Tm2: relaxed, PBE-GGA.

Summary:
D(E_F), states/eV per atom: 1.67
Raw total energy, eV per cell: -99.906

Unit cell a=3.5403 b=9.2982 c=23.7863 alpha=90.00 beta=90.00 gamma=90.00
Last column: nearest neighbours and their distance in Å.
Space group Immm (No. 71)
Unique sites:
La: 0.0000 0.0000 0.0000 x2  4 Tb 3.40, 2 La 3.54
La: 0.0000 0.2971 0.3513 x8  3 Tm 3.45-3.81, 3 Tb 3.51-3.68, 3 La 3.54-3.77
Tb: 0.0000 0.1874 0.5000 x4  7 Tb 3.39-3.54, 4 La 3.40-3.68
Tb: 0.0000 0.5000 0.0967 x4  1 Tm 3.17, 6 Tb 3.39-3.54, 4 La 3.51
Tm: 0.0000 0.5000 0.2299 x4  1 Tb 3.17, 2 La 3.45, 2 Tm 3.54

***

- Which value of raw total energy does entry 2 give?
  -99.906 eV per cell

***

Please write out number 1 again, unchanged.
SrLiSF: relaxed, PBE-GGA.

Summary:
D(E_F), states/eV per atom: 0.00
Uncorrected formation energy, eV/atom: -2.510
Raw total energy, eV per cell: -39.272

Unit cell a=4.0115 b=4.0115 c=8.8991 alpha=90.00 beta=90.00 gamma=90.00
Last column: nearest neighbours and their distance in Å.
Space group P4/nmm (No. 129, origin choice 2)
Unique sites:
Sr: 0.2500 0.2500 0.1647 x2  4 F 2.48
Li: 0.2500 0.7500 0.5000 x2  4 S 2.46
S: 0.2500 0.2500 0.6607 x2  4 Li 2.46
F: 0.2500 0.7500 0.0000 x2  4 Sr 2.48

***

- Look up the raw total energy of the first one.
  -39.272 eV per cell